# 1
Entry from the Alexandria database: a relaxed KAl5 crystal (PBE).

Properties
calculated volume	22.01	Å³/atom
relative energy among the computed polymorphs	12	meV/atom
space group	Amm2 (38)
total energy	-19.1	eV for the cell shown
crystal system	orthorhombic
ΔH_f (0 K)	0.12	eV/atom

Geometry as CIF:
```
data_KAl5
_space_group_name_H-M_alt 'P 1'
_space_group_IT_number 1
_cell_length_a 4.543
_cell_length_b 9.905
_cell_length_c 9.905
_cell_angle_alpha 17.24
_cell_angle_beta 90.00
_cell_angle_gamma 90.00
loop_
_space_group_symop_operation_xyz
'x,y,z'
loop_
_atom_site_label
_atom_site_type_symbol
_atom_site_fract_x
_atom_site_fract_y
_atom_site_fract_z
K1 K 0.000 0.000 0.000
Al1 Al 0.000 0.311 0.311
Al2 Al 0.000 0.673 0.673
Al3 Al 0.500 0.137 0.137
Al4 Al 0.500 0.384 0.384
Al5 Al 0.500 0.763 0.763
```


# 2
Entry from the Alexandria database: a relaxed LaPtO2 crystal (PBE).

Properties
calculated volume	16.77	Å³/atom
uncorrected formation energy	-1.56	eV per atom
space group	I-42d (122)
total energy	-54.2	eV for the cell shown
crystal system	tetragonal

Geometry as CIF:
```
data_LaPtO2
_space_group_name_H-M_alt 'P 1'
_space_group_IT_number 1
_cell_length_a 7.370
_cell_length_b 7.370
_cell_length_c 7.370
_cell_angle_alpha 144.53
_cell_angle_beta 144.53
_cell_angle_gamma 51.04
loop_
_space_group_symop_operation_xyz
'x,y,z'
loop_
_atom_site_label
_atom_site_type_symbol
_atom_site_fract_x
_atom_site_fract_y
_atom_site_fract_z
La1 La 0.000 0.000 0.000
La2 La 0.750 0.250 0.500
Pt1 Pt 0.250 0.750 0.500
Pt2 Pt 0.500 0.500 0.000
O1 O 0.163 0.625 0.038
O2 O 0.375 0.413 0.538
O3 O 0.587 0.125 0.962
O4 O 0.875 0.837 0.462
```


# 3
Entry from the Alexandria database: a relaxed Ba2Tl4CdHg3 crystal (PBE).

Properties
calculated volume	32.29	Å³/atom
space group	P-4m2 (115)
total energy	-17.9	eV for the cell shown
crystal system	tetragonal
ΔH_f (0 K)	-0.28	eV/atom

Geometry as CIF:
```
data_Ba2Tl4CdHg3
_space_group_name_H-M_alt 'P 1'
_space_group_IT_number 1
_cell_length_a 5.075
_cell_length_b 5.075
_cell_length_c 12.540
_cell_angle_alpha 90.00
_cell_angle_beta 90.00
_cell_angle_gamma 90.00
loop_
_space_group_symop_operation_xyz
'x,y,z'
loop_
_atom_site_label
_atom_site_type_symbol
_atom_site_fract_x
_atom_site_fract_y
_atom_site_fract_z
Ba1 Ba 0.000 0.500 0.245
Ba2 Ba 0.500 0.000 0.755
Tl1 Tl 0.000 0.000 0.500
Tl2 Tl 0.000 0.500 0.871
Tl3 Tl 0.500 0.000 0.129
Tl4 Tl 0.500 0.500 0.500
Cd1 Cd 0.500 0.500 0.000
Hg1 Hg 0.000 0.000 0.000
Hg2 Hg 0.000 0.500 0.638
Hg3 Hg 0.500 0.000 0.362
```


# 4
Entry from the Alexandria database: a relaxed Au6Cl crystal (PBE).

Properties
calculated volume	30.01	Å³/atom
uncorrected formation energy	0.60	eV per atom
space group	Im-3m (229)
total energy	-17.3	eV for the cell shown
crystal system	cubic

Geometry as CIF:
```
data_Au6Cl
_space_group_name_H-M_alt 'P 1'
_space_group_IT_number 1
_cell_length_a 6.486
_cell_length_b 6.486
_cell_length_c 6.486
_cell_angle_alpha 109.47
_cell_angle_beta 109.47
_cell_angle_gamma 109.47
loop_
_space_group_symop_operation_xyz
'x,y,z'
loop_
_atom_site_label
_atom_site_type_symbol
_atom_site_fract_x
_atom_site_fract_y
_atom_site_fract_z
Au1 Au 0.250 0.500 0.750
Au2 Au 0.250 0.750 0.500
Au3 Au 0.500 0.250 0.750
Au4 Au 0.500 0.750 0.250
Au5 Au 0.750 0.250 0.500
Au6 Au 0.750 0.500 0.250
Cl1 Cl 0.000 0.000 0.000
```


# 5
Entry from the Alexandria database: a relaxed KTl2CrS crystal (PBE).

Properties
calculated volume	33.88	Å³/atom
uncorrected formation energy	0.07	eV per atom
space group	P4/mmm (123)
total energy	-19.2	eV for the cell shown
crystal system	tetragonal

Geometry as CIF:
```
data_KTl2CrS
_space_group_name_H-M_alt 'P 1'
_space_group_IT_number 1
_cell_length_a 6.141
_cell_length_b 6.141
_cell_length_c 4.492
_cell_angle_alpha 90.00
_cell_angle_beta 90.00
_cell_angle_gamma 90.00
loop_
_space_group_symop_operation_xyz
'x,y,z'
loop_
_atom_site_label
_atom_site_type_symbol
_atom_site_fract_x
_atom_site_fract_y
_atom_site_fract_z
K1 K 0.000 0.000 0.000
Tl1 Tl 0.000 0.500 0.500
Tl2 Tl 0.500 0.000 0.500
Cr1 Cr 0.500 0.500 0.000
S1 S 0.500 0.500 0.500
```


# 6
Entry from the Alexandria database: a relaxed NpH3Cl7 crystal (PBE).

Properties
calculated volume	29.10	Å³/atom
space group	P1 (1)
total energy	-46.7	eV for the cell shown
crystal system	triclinic

Geometry as CIF:
```
data_NpH3Cl7
_space_group_name_H-M_alt 'P 1'
_space_group_IT_number 1
_cell_length_a 7.128
_cell_length_b 7.268
_cell_length_c 7.286
_cell_angle_alpha 93.68
_cell_angle_beta 112.04
_cell_angle_gamma 110.21
loop_
_space_group_symop_operation_xyz
'x,y,z'
loop_
_atom_site_label
_atom_site_type_symbol
_atom_site_fract_x
_atom_site_fract_y
_atom_site_fract_z
Np1 Np 0.000 0.000 0.000
H1 H 0.209 0.585 0.582
H2 H 0.954 0.464 0.983
H3 H 0.959 0.992 0.466
Cl1 Cl 0.162 0.731 0.089
Cl2 Cl 0.165 0.092 0.739
Cl3 Cl 0.329 0.269 0.281
Cl4 Cl 0.631 0.747 0.739
Cl5 Cl 0.791 0.272 0.900
Cl6 Cl 0.796 0.912 0.270
Cl7 Cl 0.996 0.508 0.504
```